Material: LaBN2
Method: DFT, PBE-GGA
State: relaxed

Computed properties:
SG   P4_2/m (84)
M_tot   0.00 μB/f.u.
Formation energy without anion corrections   -1.0600 eV/atom

a b c (Å): 4.0740 5.3392 5.3392
angles (deg): 90.00 90.01 90.01
With the nearest neighbours (Å) after each atom.
Atoms (fractional coordinates):
B 0.9717 0.2372 0.8242  4 N 1.59
N 0.7217 0.0227 0.9011  2 B 1.59
N 0.2216 0.1602 0.6097  2 B 1.59
N 0.7218 0.4517 0.7472  2 B 1.59
La 0.2217 0.7372 0.8242  6 N 2.53-2.58
N 0.2218 0.3142 0.0387  2 B 1.59
B 0.4717 0.2372 0.8242  4 N 1.59
La 0.7217 0.2371 0.3242  6 N 2.53-2.58

***

Material: Sm2Ga5Os
Method: DFT, PBE-GGA
State: relaxed

Computed properties:
SG   I4mm (107)
M_tot   0.00 μB/f.u.
Electronic total energy   -4.849 eV/atom

a b c (Å): 6.1951 6.1951 6.1951
angles (deg): 89.23 120.45 120.45
With the nearest neighbours (Å) after each atom.
Atoms (fractional coordinates):
Os 0.0000 0.9886 0.9886  5 Ga 2.44-2.50
Sm 0.5000 0.7476 0.2476  10 Ga 3.08-3.14
Ga 0.5734 0.2799 0.2799  1 Os 2.50, 3 Ga 2.62-2.73
Ga 0.0000 0.2656 0.2656  1 Os 2.44, 4 Ga 2.73
Ga 0.0000 0.7065 0.2799  1 Os 2.50, 3 Ga 2.62-2.73
Sm 0.5000 0.2476 0.7476  10 Ga 3.08-3.14
Ga 0.0000 0.2799 0.7065  1 Os 2.50, 3 Ga 2.62-2.73
Ga 0.4266 0.7065 0.7065  1 Os 2.50, 3 Ga 2.62-2.73

***

Material: NaAgBrCl2
Method: DFT, PBE-GGA
State: relaxed

Computed properties:
SG   P4/mmm (123)
M_tot   0.00 μB/f.u.
Formation energy without anion corrections   -0.7718 eV/atom

a b c (Å): 5.0521 5.0521 5.4232
angles (deg): 90.00 90.00 90.00
With the nearest neighbours (Å) after each atom.
Atoms (fractional coordinates):
Cl 0.5000 0.0000 0.0000  2 Ag 2.53
Na 0.5000 0.5000 0.5000  4 Br 3.57, 8 Cl 3.71
Br 0.0000 0.0000 0.5000  2 Ag 2.71
Cl 0.0000 0.5000 0.0000  2 Ag 2.53
Ag 0.0000 0.0000 0.0000  4 Cl 2.53, 2 Br 2.71